VASP calculation (PBE) on a geometry-optimized GdYHo2 structure.

a = 3.5500 Å, b = 3.5500 Å, c = 10.0396 Å
α = 90.00°, β = 90.00°, γ = 90.00°
Closest atoms and distances in Å follow each position.
Space group P4/mmm (No. 123)
Unique sites:
Gd 0.0000 0.0000 0.0000 [1 per cell]  4 Gd 3.55, 8 Ho 3.55
Y 0.0000 0.0000 0.5000 [1 per cell]  8 Ho 3.55, 4 Y 3.55
Ho 0.5000 0.5000 0.2505 [2 per cell]  4 Y 3.55, 4 Ho 3.55, 4 Gd 3.55

Output
As for the volume: 31.6 Å³ per atom. The energy above the most stable polymorph in this dataset is 1 meV per atom. The calculation puts the energy of formation from the pure elements at 0.0255 eV per atom. The calculation puts the spin magnetization at 1.807 μB per atom.